The following is a PBE calculation of a relaxed SmRePO crystal, from OQMD via LeMat-Bulk.

Properties
As for the total energy: -8.618 eV per atom.

a b c (Å): 3.951 3.951 8.531
angles (deg): 90.00 90.00 90.00
Element x y z (fractional)
Sm1 0.250 0.250 0.137
Sm2 0.750 0.750 0.863
Re1 0.250 0.750 0.500
Re2 0.750 0.250 0.500
P1 0.250 0.250 0.662
P2 0.750 0.750 0.338
O1 0.250 0.750 0.000
O2 0.750 0.250 0.000